The following is a PBE-GGA calculation of crystalline Tb6PmNd2 at its relaxed geometry, from Alexandria via LeMat-Bulk.

Computed properties:
energy of formation from the pure elements	103	meV/atom
relative energy among the computed polymorphs	8.6	meV/atom

a = 9.863 Å, b = 9.863 Å, c = 9.863 Å
α = 159.48°, β = 116.37°, γ = 67.62°
Fractional coordinates of all 9 atoms:
1 Tb 0.011 0.177 0.833
2 Tb 0.314 0.500 0.814
3 Tb 0.344 0.177 0.167
4 Tb 0.656 0.823 0.833
5 Tb 0.686 0.500 0.186
6 Tb 0.989 0.823 0.167
7 Pm 0.000 0.000 0.000
8 Nd 0.343 0.843 0.500
9 Nd 0.657 0.157 0.500

***

The following is a PBE-GGA calculation of crystalline Np2N2O7 at its relaxed geometry, from Alexandria via LeMat-Bulk.

Computed properties:
formation energy without anion corrections	-1826	meV/atom

a = 6.796 Å, b = 6.796 Å, c = 6.781 Å
α = 93.40°, β = 93.40°, γ = 118.84°
Fractional coordinates of all 11 atoms:
1 Np 0.207 0.207 0.381
2 Np 0.793 0.793 0.619
3 N 0.452 0.548 0.000
4 N 0.548 0.452 0.000
5 O 0.064 0.368 0.353
6 O 0.088 0.088 0.667
7 O 0.368 0.064 0.353
8 O 0.500 0.500 0.500
9 O 0.632 0.936 0.647
10 O 0.912 0.912 0.333
11 O 0.936 0.632 0.647

***

The following is a PBE-GGA calculation of crystalline BaNaTeCl at its relaxed geometry, from Alexandria via LeMat-Bulk.

Computed properties:
formation energy without anion corrections	-1620	meV/atom
relative energy among the computed polymorphs	82.3	meV/atom

a = 5.651 Å, b = 5.651 Å, c = 5.651 Å
α = 60.00°, β = 60.00°, γ = 60.00°
Fractional coordinates of all 4 atoms:
1 Ba 0.000 0.000 0.000
2 Na 0.500 0.500 0.500
3 Te 0.250 0.250 0.250
4 Cl 0.750 0.750 0.750

***

The following is a PBE-GGA calculation of crystalline SmReC at its relaxed geometry, from Alexandria via LeMat-Bulk.

Computed properties:
energy of formation from the pure elements	144	meV/atom
relative energy among the computed polymorphs	0.0	meV/atom

a = 3.545 Å, b = 3.545 Å, c = 4.672 Å
α = 90.00°, β = 90.00°, γ = 120.00°
Fractional coordinates of all 3 atoms:
1 Sm 0.000 0.000 0.000
2 Re 0.333 0.667 0.500
3 C 0.667 0.333 0.500

***

The following is a PBE-GGA calculation of crystalline CaFe2Pt at its relaxed geometry, from Alexandria via LeMat-Bulk.

Computed properties:
energy of formation from the pure elements	91	meV/atom

a = 5.388 Å, b = 5.388 Å, c = 5.388 Å
α = 144.10°, β = 131.84°, γ = 61.50°
Fractional coordinates of all 4 atoms:
1 Ca 0.000 0.000 0.000
2 Fe 0.270 0.770 0.500
3 Fe 0.730 0.230 0.500
4 Pt 0.500 0.500 0.000

***

The following is a PBE-GGA calculation of crystalline MnZn2In at its relaxed geometry, from Alexandria via LeMat-Bulk.

Computed properties:
energy of formation from the pure elements	230	meV/atom

a = 8.945 Å, b = 8.945 Å, c = 8.945 Å
α = 19.66°, β = 19.66°, γ = 19.66°
Fractional coordinates of all 4 atoms:
1 Mn 0.000 0.000 0.000
2 Zn 0.488 0.488 0.488
3 Zn 0.743 0.743 0.743
4 In 0.245 0.245 0.245

***

The following is a PBE-GGA calculation of crystalline Tb2PaPt at its relaxed geometry, from Alexandria via LeMat-Bulk.

Computed properties:
energy of formation from the pure elements	-446	meV/atom
relative energy among the computed polymorphs	0.0	meV/atom

a = 3.490 Å, b = 3.490 Å, c = 8.157 Å
α = 90.00°, β = 90.00°, γ = 90.00°
Fractional coordinates of all 4 atoms:
1 Tb 0.000 0.000 0.210
2 Tb 0.000 0.000 0.790
3 Pa 0.500 0.500 0.500
4 Pt 0.500 0.500 0.000

***

The following is a PBE-GGA calculation of crystalline HfTiRuN2 at its relaxed geometry, from Alexandria via LeMat-Bulk.

Computed properties:
formation energy without anion corrections	1093	meV/atom

a = 3.893 Å, b = 3.893 Å, c = 5.183 Å
α = 90.00°, β = 90.00°, γ = 90.00°
Fractional coordinates of all 5 atoms:
1 Hf 0.000 0.000 0.000
2 Ti 0.500 0.500 0.000
3 Ru 0.000 0.000 0.500
4 N 0.000 0.500 0.500
5 N 0.500 0.000 0.500

***

no.,raw total energy (eV/cell)
1,-41.14
2,-97.32
3,-14.71
4,-25.96
5,-24.60
6,-13.53
7,-26.58
8,-38.31